Here is TaPAu2 at its PBEsol-relaxed geometry from the Alexandria database. Energies are from SCAN.

Structure (extended XYZ):
```
4
Lattice="2.864 0.000 0.000 0.000 2.864 0.000 0.000 0.000 8.100" Properties=species:S:1:pos:R:3 pbc="T T T"
Ta 0.000 0.000 0.000
P 0.000 0.000 4.050
Au 1.432 1.432 2.021
Au 1.432 1.432 6.079
```


Here is Cs2TlAu at its PBEsol-relaxed geometry from the Alexandria database. Energies are from SCAN.

Structure (extended XYZ):
```
8
Lattice="-6.531 6.531 2.657 6.531 -6.531 2.657 6.531 6.531 -2.657" Properties=species:S:1:pos:R:3 pbc="T T T"
Cs -1.061 3.265 0.664
Cs 3.265 5.469 1.993
Cs 1.061 9.796 0.664
Cs -3.265 7.592 1.993
Tl 6.531 0.000 1.328
Tl 0.000 0.000 2.657
Au 0.000 0.000 0.000
Au 0.000 6.531 1.328
```


Here is CsAlFeCo2 at its PBEsol-relaxed geometry from the Alexandria database. Energies are from SCAN.

Structure (extended XYZ):
```
5
Lattice="4.522 0.000 0.000 0.000 4.522 0.000 0.000 0.000 4.633" Properties=species:S:1:pos:R:3 pbc="T T T"
Cs 0.000 0.000 0.000
Al 2.261 2.261 2.317
Fe 2.261 2.261 0.000
Co 0.000 2.261 2.317
Co 2.261 0.000 2.317
```


Number 1: ΔH_f (0 K) 0.14 eV/atom. Number 2: ΔH_f (0 K) -0.19 eV/atom. Number 3: ΔH_f (0 K) 1.22 eV/atom.